A relaxed structure of RbAg2IO6, computed with PBE.

Output
- Formation energy (no corrections): -3.8 eV/f.u.
- Calculated total energy: -41.78 eV for the cell shown
- Symmetry: R3

Cell and atoms, written as POSCAR:
```
RbAg2IO6
1.0
2.867 1.655 5.481
-2.867 1.655 5.481
0.000 -3.311 5.481
Rb Ag I O
1 2 1 6
Cartesian
0.000 0.000 0.000 Rb
0.000 0.000 4.562 Ag
0.000 0.000 13.140 Ag
0.000 0.000 7.757 I
-1.445 -0.382 6.526 O
-0.781 -1.425 8.785 O
1.053 -1.060 6.526 O
-0.844 1.388 8.785 O
0.392 1.442 6.526 O
1.624 0.036 8.785 O
```

=====

A relaxed structure of Ce3Sb2N, computed with PBE.

Output
- Formation energy (no corrections): -6.4 eV/f.u.
- Calculated total energy: -163.13 eV for the cell shown
- Polymorph energy (0 for the lowest one): 0 meV per atom
- Symmetry: Pnma

Cell and atoms, written as POSCAR:
```
Ce3Sb2N
1.0
7.733 0.000 0.000
0.000 4.106 0.000
0.000 0.000 20.219
Ce Sb N
12 8 4
Cartesian
0.234 1.026 3.675 Ce
0.779 1.026 7.113 Ce
1.386 1.026 10.720 Ce
2.481 3.079 0.610 Ce
3.088 3.079 17.223 Ce
3.633 3.079 13.785 Ce
4.100 1.026 6.435 Ce
4.646 1.026 2.997 Ce
5.253 1.026 19.609 Ce
6.347 3.079 9.499 Ce
6.955 3.079 13.106 Ce
7.500 3.079 16.544 Ce
0.922 1.026 18.692 Sb
1.319 1.026 14.493 Sb
2.547 3.079 4.383 Sb
2.945 3.079 8.582 Sb
4.788 1.026 11.637 Sb
5.186 1.026 15.836 Sb
6.414 3.079 5.727 Sb
6.812 3.079 1.528 Sb
0.263 3.079 11.212 N
3.604 1.026 1.103 N
4.130 3.079 19.117 N
7.470 1.026 9.007 N
```

=====

A relaxed structure of Hf3ThTe8, computed with PBE.

Output
- Formation energy (no corrections): -10.6 eV/f.u.
- Calculated total energy: -72.97 eV for the cell shown
- Symmetry: R-3m

Cell and atoms, written as POSCAR:
```
Hf3ThTe8
1.0
4.089 2.361 7.205
-4.089 2.361 7.205
0.000 -4.722 7.205
Hf Th Te
3 1 8
Cartesian
-2.045 -1.181 7.205 Hf
-2.045 1.180 14.409 Hf
0.000 2.361 7.205 Hf
0.000 0.000 10.807 Th
0.000 -2.441 8.847 Te
-2.114 1.221 8.847 Te
-2.114 -1.221 12.766 Te
0.000 0.000 5.495 Te
0.000 0.000 16.119 Te
2.114 1.221 8.847 Te
2.114 -1.221 12.766 Te
0.000 2.441 12.766 Te
```

=====

A relaxed structure of HfCuP2Pb, computed with PBE.

Output
- Calculated total energy: -22.20 eV for the cell shown
- Energy of formation from the pure elements: 1.276 eV/atom
- Symmetry: P4/mmm

Cell and atoms, written as POSCAR:
```
HfCuP2Pb
1.0
5.135 0.000 0.000
0.000 5.135 0.000
0.000 0.000 4.649
Hf Cu P Pb
1 1 2 1
Cartesian
0.000 0.000 0.000 Hf
2.568 2.568 0.000 Cu
0.000 2.568 2.324 P
2.568 0.000 2.324 P
2.568 2.568 2.324 Pb
```